The following is a DFT calculation (PBE) of a relaxed structure of In2TcRu.

VASP energy   -5.85 eV per atom
Energy of formation from the pure elements   0.43 eV per atom
Energy above the lowest structure with this stoichiometry   1.51 eV per formula unit
Space-group type   Cmmm, No. 65
Volume   17.7 Å³ per atom

a = 2.953 Å, b = 2.953 Å, c = 8.898 Å
α = 90.00°, β = 90.00°, γ = 114.18°
Positions (direct):
In1 0.000 0.000 0.004
In2 0.000 0.000 0.496
Ru1 0.500 0.500 0.250
Tc1 0.500 0.500 0.750